# Cs2NiAsF6, optimized geometry, DFT GGA+U
data_Cs2NiAsF6
_chemical_formula_sum 'Cs2 Ni1 As1 F6'
_symmetry_space_group_name_H-M 'P 1'
_symmetry_Int_Tables_number 1
_cell_length_a 6.627
_cell_length_b 6.627
_cell_length_c 6.627
_cell_angle_alpha 126.27
_cell_angle_beta 126.27
_cell_angle_gamma 79.45
loop_
_symmetry_equiv_pos_as_xyz
'x,y,z'
loop_
_atom_site_label
_atom_site_type_symbol
_atom_site_fract_x
_atom_site_fract_y
_atom_site_fract_z
Cs1 Cs 0.250 0.750 0.500
Cs2 Cs 0.750 0.250 0.500
Ni1 Ni 0.000 0.000 0.000
As1 As 0.500 0.500 0.000
F1 F 0.251 0.251 0.501
F2 F 0.251 0.749 0.000
F3 F 0.300 0.300 0.000
F4 F 0.700 0.700 0.000
F5 F 0.749 0.251 0.000
F6 F 0.749 0.749 0.499
# SG   I4/mmm, No. 139
# Density of states at the Fermi level   0.0 states/eV per cell
# Total DFT energy (no corrections)   -41.86 eV/cell